Record 1
Here is crystalline CrNi15Sn4 at its relaxed geometry from the Alexandria database. Energies are from PBE.

```
CrNi15Sn4
1.0
-2.5960 -2.5894 -0.5390
2.6418 -2.5020 -0.7038
0.6338 -4.3484 17.8388
Ni Cr Sn
15 1 4
direct
0.5000 0.0000 0.9100
0.0000 0.5000 0.7044
0.0000 0.5000 0.5000
0.0000 0.5000 0.2956
0.5000 0.0000 0.5000
0.5000 0.0000 0.7044
0.0000 0.5000 0.9100
0.5000 0.0000 0.2956
0.5000 0.5000 0.3976
0.5000 0.5000 0.8068
0.5000 0.5000 0.6024
0.5000 0.0000 0.0900
0.0000 0.5000 0.0900
0.5000 0.5000 0.1932
0.5000 0.5000 0.0000
0.0000 0.0000 0.0000
0.0000 0.0000 0.8060
0.0000 0.0000 0.1940
0.0000 0.0000 0.3981
0.0000 0.0000 0.6019
```

Computed properties:
ΔH_f (0 K) = -0.142 eV per atom
Magnetization = 0.0804 μB/atom
DOS(E_F) = 14.14 states/eV per cell

Record 2
Here is crystalline CrNi2Sn2 at its relaxed geometry from the Alexandria database. Energies are from PBE.

```
CrNi2Sn2
1.0
-6.2295 3.8259 0.1952
-1.7411 -2.4957 -6.6500
-1.3769 -2.3044 1.2253
Cr Sn Ni
2 4 4
direct
0.0000 0.0000 0.0000
0.5000 0.5000 0.0000
0.1595 0.3405 0.0000
0.8405 0.6595 0.0000
0.6595 0.1595 0.0000
0.3405 0.8405 0.0000
0.8622 0.3622 0.5000
0.6378 0.8622 0.5000
0.1378 0.6378 0.5000
0.3622 0.1378 0.5000
```

Computed properties:
ΔH_f (0 K) = 0.290 eV per atom
Magnetization = 0.0000 μB/atom
Energy above the most stable polymorph in this dataset = 1.07 eV per formula unit
DOS(E_F) = 6.50 states/eV per cell

Record 3
Here is crystalline Cr3NiSn at its relaxed geometry from the Alexandria database. Energies are from PBE.

```
Cr3NiSn
1.0
4.5124 0.0000 0.0000
0.0000 4.5124 0.0000
0.0000 0.0000 4.5124
Ni Sn Cr
1 1 3
direct
0.0000 0.0000 0.0000
0.5000 0.5000 0.5000
0.0000 0.5000 0.0000
0.0000 0.0000 0.5000
0.5000 0.0000 0.0000
```

Computed properties:
ΔH_f (0 K) = 0.928 eV per atom
Magnetization = 2.0919 μB/atom
DOS(E_F) = 4.51 states/eV per cell

Record 4
Here is crystalline CrNi4Sn at its relaxed geometry from the Alexandria database. Energies are from PBE.

```
CrNi4Sn
1.0
-4.4552 1.6916 0.5431
-3.4852 -2.8884 1.5863
-1.8110 0.6182 4.3982
Ni Cr Sn
4 1 1
direct
0.6248 0.6248 0.6248
0.6248 0.1257 0.6248
0.6248 0.6248 0.1257
0.1257 0.6248 0.6248
0.2500 0.2500 0.2500
0.0000 0.0000 0.0000
```

Computed properties:
ΔH_f (0 K) = -0.002 eV per atom
Magnetization = 0.7490 μB/atom
DOS(E_F) = 7.45 states/eV per cell